Entry 1:
{
  "formula": "La4GeRhBr2",
  "functional": "GGA-PBE",
  "state": "optimized geometry",
  "total_energy_ev_per_atom": -5.529,
  "volume_a3_per_fu": 246.3,
  "lattice_angstrom": [[-1.5980, 1.6861, -3.5697], [-6.4042, 1.8921, 3.7606], [4.9195, 6.1148, 0.6860]],
  "species": ["La", "Br", "Br", "Ge", "La", "La", "Rh", "La"],
  "frac_coords": [[0.0000, 0.2743, 0.7938], [0.0000, 0.5000, 0.5000], [0.5000, 0.0000, 0.5000], [0.0000, 0.0000, 0.0000], [0.5000, 0.2512, 0.2065], [0.0000, 0.7257, 0.2062], [0.5000, 0.5000, 0.0000], [0.5000, 0.7488, 0.7935]]
}


Entry 2:
{
  "formula": "ErThMg14",
  "functional": "GGA-PBE",
  "state": "optimized geometry",
  "delta_e_f_ev_per_atom": 0.01,
  "total_energy_ev_per_atom": -2.132,
  "volume_a3_per_fu": 388.0,
  "lattice_angstrom": [[6.8672, -0.0136, 0.0000], [0.0156, 6.8672, 0.0000], [0.0000, 0.0000, 8.2273]],
  "species": ["Mg", "Mg", "Mg", "Mg", "Mg", "Mg", "Mg", "Mg", "Mg", "Th", "Mg", "Er", "Mg", "Mg", "Mg", "Mg"],
  "frac_coords": [[0.1230, 0.1230, 0.7623], [0.6273, 0.1227, 0.7622], [0.8750, 0.8750, 0.0000], [0.3750, 0.3750, 0.0000], [0.3750, 0.8750, 0.0000], [0.1230, 0.1230, 0.2377], [0.8750, 0.3750, 0.5000], [0.1227, 0.6273, 0.7622], [0.1227, 0.6273, 0.2378], [0.3750, 0.3750, 0.5000], [0.6270, 0.6270, 0.7623], [0.8750, 0.8750, 0.5000], [0.3750, 0.8750, 0.5000], [0.8750, 0.3750, 0.0000], [0.6273, 0.1227, 0.2378], [0.6270, 0.6270, 0.2377]]
}


Entry 3:
{
  "formula": "RbPa2AsO8",
  "functional": "GGA-PBE",
  "state": "optimized geometry",
  "total_energy_ev_per_atom": -7.838,
  "volume_a3_per_fu": 192.1,
  "lattice_angstrom": [[-3.3771, 2.7913, -2.7791], [1.1509, -4.8530, -1.4296], [-6.1784, -2.8374, 4.6580]],
  "species": ["O", "As", "Rb", "O", "Pa", "Pa", "O", "O", "O", "O", "O", "O"],
  "frac_coords": [[0.6667, 0.3333, 0.3590], [0.0000, 0.0000, 0.0000], [0.0000, 0.0000, 0.5000], [0.3391, 0.1696, 0.8767], [0.3333, 0.6667, 0.8684], [0.6667, 0.3333, 0.1316], [0.6609, 0.8304, 0.1233], [0.8304, 0.6609, 0.8767], [0.3333, 0.6667, 0.6410], [0.1696, 0.3391, 0.1233], [0.8304, 0.1696, 0.8767], [0.1696, 0.8304, 0.1233]]
}


Entry 4:
{
  "formula": "Ca4CdPt3",
  "functional": "GGA-PBE",
  "state": "optimized geometry",
  "delta_e_f_ev_per_atom": -0.80,
  "total_energy_ev_per_atom": -4.179,
  "volume_a3_per_fu": 184.0,
  "lattice_angstrom": [[5.3890, 0.0000, 1.9084], [2.6945, 8.0228, 0.9542], [0.0163, 0.0000, 8.5168]],
  "species": ["Pt", "Ca", "Cd", "Ca", "Pt", "Ca", "Pt", "Ca", "Ca", "Pt", "Cd", "Ca", "Ca", "Ca", "Pt", "Pt"],
  "frac_coords": [[0.8426, 0.5000, 0.8149], [0.9170, 0.8642, 0.3018], [0.7500, 0.5000, 0.5000], [0.2188, 0.6982, 0.8642], [0.2500, 0.0000, 0.0000], [0.2812, 0.1358, 0.3018], [0.7500, 0.0000, 0.0000], [0.5830, 0.6982, 0.1358], [0.7188, 0.8642, 0.6982], [0.3426, 0.8149, 0.5000], [0.2500, 0.5000, 0.5000], [0.0830, 0.1358, 0.6982], [0.4170, 0.3018, 0.8642], [0.7812, 0.3018, 0.1358], [0.6574, 0.1851, 0.5000], [0.1574, 0.5000, 0.1851]]
}


Entry 5:
{
  "formula": "CrP2Se",
  "functional": "GGA-PBE",
  "state": "optimized geometry",
  "total_energy_ev_per_atom": -5.964,
  "volume_a3_per_fu": 69.1,
  "lattice_angstrom": [[8.8601, 0.0627, 0.0370], [8.3206, 3.0451, 0.0370], [8.3206, 1.5051, 2.6473]],
  "species": ["Se", "P", "P", "Cr"],
  "frac_coords": [[0.4706, 0.4706, 0.4706], [0.0065, 0.0065, 0.0065], [0.2807, 0.2807, 0.2807], [0.7422, 0.7422, 0.7422]]
}


Entry 6:
{
  "formula": "Rb2VHg",
  "functional": "GGA-PBE",
  "state": "optimized geometry",
  "delta_e_f_ev_per_atom": 0.69,
  "total_energy_ev_per_atom": -2.146,
  "volume_a3_per_fu": 227.3,
  "lattice_angstrom": [[12.8779, 0.0000, 0.0000], [0.0000, 12.8779, 0.0000], [6.4390, 6.4390, 2.7413]],
  "species": ["Rb", "Hg", "V", "Rb", "V", "Rb", "Hg", "Rb"],
  "frac_coords": [[0.9707, 0.6250, 0.2500], [0.0000, 0.0000, 0.0000], [0.2500, 0.7500, 0.5000], [0.3750, 0.2207, 0.7500], [0.5000, 0.5000, 0.0000], [0.7793, 0.1250, 0.2500], [0.7500, 0.2500, 0.5000], [0.8750, 0.0293, 0.7500]]
}


Entry 7:
{
  "formula": "Li4La3Tl4",
  "functional": "GGA-PBE",
  "state": "optimized geometry",
  "delta_e_f_ev_per_atom": -0.30,
  "total_energy_ev_per_atom": -3.198,
  "volume_a3_per_fu": 286.8,
  "lattice_angstrom": [[4.7384, 0.0000, -1.3045], [-0.8607, 6.9553, -3.1264], [-0.1097, -0.2646, 8.8598]],
  "species": ["Li", "La", "Tl", "Tl", "Tl", "Li", "Li", "La", "Li", "Tl", "La"],
  "frac_coords": [[0.3246, 0.1399, 0.6491], [0.0000, 0.5000, 0.0000], [0.5000, 0.7958, 0.0000], [0.2213, 0.7213, 0.4425], [0.7787, 0.2787, 0.5575], [0.3246, 0.5092, 0.6491], [0.6754, 0.4908, 0.3509], [0.8777, 0.8777, 0.7554], [0.6754, 0.8601, 0.3509], [0.5000, 0.2042, 0.0000], [0.1223, 0.1223, 0.2446]]
}


Entry 8:
{
  "formula": "MgTaV3",
  "functional": "GGA-PBE",
  "state": "optimized geometry",
  "delta_e_f_ev_per_atom": 1.75,
  "total_energy_ev_per_atom": -6.407,
  "volume_a3_per_fu": 87.5,
  "lattice_angstrom": [[-0.8604, -4.3173, -0.5697], [0.0275, -0.5861, 4.4000], [-4.3546, 0.8494, 0.1404]],
  "species": ["V", "Mg", "V", "Ta", "V"],
  "frac_coords": [[0.0000, 0.0000, 0.5000], [0.0000, 0.0000, 0.0000], [0.0000, 0.5000, 0.0000], [0.5000, 0.5000, 0.5000], [0.5000, 0.0000, 0.0000]]
}